(1)
# Sm3TmPb12 (PBE, relaxed)
data_Sm3TmPb12
_symmetry_space_group_name_H-M 'P 4/m m m'
_symmetry_Int_Tables_number 123
_symmetry_space_group_name_Hall '-P 4 2'
_cell_length_a 4.931
_cell_length_b 4.931
_cell_length_c 19.351
_cell_angle_alpha 90.00
_cell_angle_beta 90.00
_cell_angle_gamma 90.00
loop_
_atom_site_label
_atom_site_type_symbol
_atom_site_fract_x
_atom_site_fract_y
_atom_site_fract_z
Sm1 Sm 0.000 0.000 0.000
Sm2 Sm 0.000 0.000 0.251
Tm1 Tm 0.000 0.000 0.500
Pb1 Pb 0.000 0.500 0.126
Pb2 Pb 0.000 0.500 0.378
Pb3 Pb 0.500 0.500 0.000
Pb4 Pb 0.500 0.500 0.252
Pb5 Pb 0.500 0.500 0.500
# Calculated total energy in eV/atom: -4.26
# Total moment in μB per atom: 0.000
# Crystal system: tetragonal
# Formation energy from the elements in eV per atom: -0.3175
# D(E_F) in states/eV/atom: 0.46
# Density in g/cm3: 10.96

***

(2)
# SmTm12Pb7 (PBE, relaxed)
data_SmTm12Pb7
_symmetry_space_group_name_H-M 'R -3 m'
_symmetry_Int_Tables_number 166
_symmetry_space_group_name_Hall '-R 3 2"'
_cell_length_a 15.2678
_cell_length_b 15.2678
_cell_length_c 8.9321
_cell_angle_alpha 90.00
_cell_angle_beta 90.00
_cell_angle_gamma 120.00
loop_
_atom_site_label
_atom_site_type_symbol
_atom_site_fract_x
_atom_site_fract_y
_atom_site_fract_z
Sm1 Sm 0.0000 0.0000 0.0000
Tm1 Tm 0.0000 0.2789 0.0000
Tm2 Tm 0.1109 0.2217 0.3915
Pb1 Pb 0.0000 0.0000 0.5000
Pb2 Pb 0.1024 0.2047 0.7660
# Calculated total energy in eV/atom: -4.45
# Total moment in μB per atom: 0.000
# Crystal system: trigonal
# Formation energy from the elements in eV per atom: -0.2343
# D(E_F) in states/eV/atom: 1.11
# Density in g/cm3: 10.02

***

(3)
# Sm2Tm3Pb4 (PBE, relaxed)
data_Sm2Tm3Pb4
_symmetry_space_group_name_H-M 'I m m m'
_symmetry_Int_Tables_number 71
_symmetry_space_group_name_Hall '-I 2 2'
_cell_length_a 5.072
_cell_length_b 6.550
_cell_length_c 16.407
_cell_angle_alpha 90.00
_cell_angle_beta 90.00
_cell_angle_gamma 90.00
loop_
_atom_site_label
_atom_site_type_symbol
_atom_site_fract_x
_atom_site_fract_y
_atom_site_fract_z
Sm1 Sm 0.000 0.000 0.169
Tm1 Tm 0.000 0.000 0.392
Tm2 Tm 0.000 0.500 0.500
Pb1 Pb 0.000 0.273 0.000
Pb2 Pb 0.000 0.500 0.228
# Calculated total energy in eV/atom: -4.54
# Total moment in μB per atom: 0.000
# Crystal system: orthorhombic
# Formation energy from the elements in eV per atom: -0.3565
# D(E_F) in states/eV/atom: 0.68
# Density in g/cm3: 9.97

***

(4)
# Sm2TmPb (PBE, relaxed)
data_Sm2TmPb
_symmetry_space_group_name_H-M 'F m -3 m'
_symmetry_Int_Tables_number 225
_symmetry_space_group_name_Hall '-F 4 2 3'
_cell_length_a 7.825
_cell_length_b 7.825
_cell_length_c 7.825
_cell_angle_alpha 90.00
_cell_angle_beta 90.00
_cell_angle_gamma 90.00
loop_
_atom_site_label
_atom_site_type_symbol
_atom_site_fract_x
_atom_site_fract_y
_atom_site_fract_z
Sm1 Sm 0.250 0.250 0.250
Tm1 Tm 0.000 0.000 0.000
Pb1 Pb 0.000 0.000 0.500
# Calculated total energy in eV/atom: -4.54
# Total moment in μB per atom: 0.007
# Crystal system: cubic
# Formation energy from the elements in eV per atom: -0.1362
# D(E_F) in states/eV/atom: 1.87
# Density in g/cm3: 9.38
# E above lowest polymorph in meV per atom: 157

***

(5)
# Sm4Tm4Pb7 (PBE, relaxed)
data_Sm4Tm4Pb7
_symmetry_space_group_name_H-M 'I 4/m m m'
_symmetry_Int_Tables_number 139
_symmetry_space_group_name_Hall '-I 4 2'
_cell_length_a 16.347
_cell_length_b 16.347
_cell_length_c 6.765
_cell_angle_alpha 90.00
_cell_angle_beta 90.00
_cell_angle_gamma 90.00
loop_
_atom_site_label
_atom_site_type_symbol
_atom_site_fract_x
_atom_site_fract_y
_atom_site_fract_z
Sm1 Sm 0.000 0.186 0.000
Sm2 Sm 0.130 0.130 0.500
Tm1 Tm 0.151 0.349 0.250
Pb1 Pb 0.000 0.000 0.247
Pb2 Pb 0.000 0.272 0.500
Pb3 Pb 0.000 0.403 0.000
Pb4 Pb 0.195 0.195 0.000
# Calculated total energy in eV/atom: -4.64
# Total moment in μB per atom: 0.000
# Crystal system: tetragonal
# Formation energy from the elements in eV per atom: -0.4628
# D(E_F) in states/eV/atom: 0.87
# Density in g/cm3: 10.02

***

(6)
# SmTm3Pb3 (PBE, relaxed)
data_SmTm3Pb3
_symmetry_space_group_name_H-M 'P 21 3'
_symmetry_Int_Tables_number 198
_symmetry_space_group_name_Hall 'P 2ac 2ab 3'
_cell_length_a 9.366
_cell_length_b 9.366
_cell_length_c 9.366
_cell_angle_alpha 90.00
_cell_angle_beta 90.00
_cell_angle_gamma 90.00
loop_
_atom_site_label
_atom_site_type_symbol
_atom_site_fract_x
_atom_site_fract_y
_atom_site_fract_z
Sm1 Sm 0.067 0.433 0.567
Tm1 Tm 0.075 0.575 0.925
Tm2 Tm 0.179 0.821 0.321
Tm3 Tm 0.180 0.180 0.180
Pb1 Pb 0.001 0.257 0.877
# Calculated total energy in eV/atom: -4.68
# Total moment in μB per atom: 0.000
# Crystal system: cubic
# Formation energy from the elements in eV per atom: -0.4992
# D(E_F) in states/eV/atom: 0.21
# Density in g/cm3: 10.34
# E above lowest polymorph in meV per atom: 0

***

(7)
# Sm4TmPb2 (PBE, relaxed)
data_Sm4TmPb2
_symmetry_space_group_name_H-M 'I 4/m m m'
_symmetry_Int_Tables_number 139
_symmetry_space_group_name_Hall '-I 4 2'
_cell_length_a 5.445
_cell_length_b 5.445
_cell_length_c 16.855
_cell_angle_alpha 90.00
_cell_angle_beta 90.00
_cell_angle_gamma 90.00
loop_
_atom_site_label
_atom_site_type_symbol
_atom_site_fract_x
_atom_site_fract_y
_atom_site_fract_z
Sm1 Sm 0.000 0.000 0.183
Sm2 Sm 0.000 0.500 0.000
Tm1 Tm 0.000 0.000 0.000
Pb1 Pb 0.000 0.000 0.369
# Calculated total energy in eV/atom: -4.05
# Total moment in μB per atom: 0.000
# Crystal system: tetragonal
# Formation energy from the elements in eV per atom: 0.3483
# D(E_F) in states/eV/atom: 1.17
# Density in g/cm3: 7.87

***

(8)
# Sm2TmPb9 (PBE, relaxed)
data_Sm2TmPb9
_symmetry_space_group_name_H-M 'P 4/m m m'
_symmetry_Int_Tables_number 123
_symmetry_space_group_name_Hall '-P 4 2'
_cell_length_a 4.898
_cell_length_b 4.898
_cell_length_c 14.663
_cell_angle_alpha 90.00
_cell_angle_beta 90.00
_cell_angle_gamma 90.00
loop_
_atom_site_label
_atom_site_type_symbol
_atom_site_fract_x
_atom_site_fract_y
_atom_site_fract_z
Sm1 Sm 0.000 0.000 0.167
Tm1 Tm 0.000 0.000 0.500
Pb1 Pb 0.000 0.500 0.000
Pb2 Pb 0.000 0.500 0.337
Pb3 Pb 0.500 0.500 0.168
Pb4 Pb 0.500 0.500 0.500
# Calculated total energy in eV/atom: -4.24
# Total moment in μB per atom: 0.000
# Crystal system: tetragonal
# Formation energy from the elements in eV per atom: -0.3024
# D(E_F) in states/eV/atom: 0.54
# Density in g/cm3: 11.02